First-principles (PBE) data for a geometry-optimized Zr2ReAg structure, as listed in the Alexandria database.

Summary:
Electronic total energy, eV/cell: -32.129
N(E_F), states/eV per atom: 0.936
Formation enthalpy at 0 K, kJ per mole of atoms: 6

Cell lengths 5.630, 5.630, 4.656 Å; angles 65.58, 65.58, 35.68 degrees
Atoms (fractional coordinates):
Ag: 0.515 0.515 0.485
Zr: 0.749 0.749 0.751
Zr: 0.977 0.977 0.023
Re: 0.258 0.258 0.241